Compound: WCN2F
Source: Alexandria
Functional: GGA+U
Structure: optimized geometry

Unit cell a=3.978 b=3.978 c=4.043 alpha=90.00 beta=90.00 gamma=90.00
Site moments in Bohr magnetons follow the coordinates.
Positions (direct):
F1 0.000 0.000 0.500  0.03
C1 0.500 0.500 0.500  0.73
N1 0.500 0.000 0.000  -0.42
W1 0.000 0.000 0.000  0.75
N2 0.000 0.500 0.000  -0.42

Results
E above lowest polymorph (eV/atom): 0.0000
Total moment (μB/f.u.): 1.1
Electronic total energy (eV per atom): -5.734
Symmetry: P4/mmm